# 1
BaHoPd2 | Alexandria | PBE | optimized geometry; ΔE_f = -0.5303 eV per atom; ΔE to the lowest computed polymorph = 174 meV/atom; N(E_F) = 0.38 states/eV per atom; ρ = 8.556 Mg/m³; crystal system = tetragonal; space-group type = P4/mmm (123)
1.0
-1.8654 -2.9749 -0.8186
-0.2417 -1.2541 5.1083
-4.4996 2.6977 0.4494
Ho Pd Ba
1 2 1
direct
0.5000 0.0000 0.0000
0.0000 0.0000 0.5000
0.0000 0.5000 0.0000
0.5000 0.5000 0.5000

---

# 2
BaHoPd2 | Alexandria | PBE | optimized geometry; ΔE_f = -0.7047 eV per atom; ΔE to the lowest computed polymorph = 0 meV/atom; N(E_F) = 0.51 states/eV per atom; ρ = 8.481 Mg/m³; crystal system = tetragonal; space-group type = P4/mmm (123)
1.0
3.6339 0.0000 0.0000
0.0000 3.6339 0.0000
0.0000 0.0000 7.6372
Ho Pd Ba
1 2 1
direct
0.5000 0.5000 0.0000
0.0000 0.0000 0.8047
0.0000 0.0000 0.1953
0.5000 0.5000 0.5000

---

# 3
BaHo2PdS4 | Alexandria | PBE | optimized geometry; uncorrected formation energy = -177.51 kJ/mol of atoms; ρ = 6.261 Mg/m³; crystal system = orthorhombic; space-group type = Cmcm (63)
1.0
4.0260 0.0000 0.0000
-2.0130 6.7165 0.0000
0.0000 0.0000 13.7685
Ba Ho Pd S
2 4 2 8
direct
0.1156 0.2313 0.7500
0.8844 0.7687 0.2500
0.3669 0.7338 0.5698
0.6331 0.2662 0.0698
0.6331 0.2662 0.4302
0.3669 0.7338 0.9302
0.8428 0.6856 0.7500
0.1572 0.3144 0.2500
0.2675 0.5351 0.1062
0.7325 0.4649 0.6062
0.7325 0.4649 0.8938
0.2675 0.5351 0.3938
0.0000 0.0000 0.5000
0.0000 0.0000 0.0000
0.4473 0.8945 0.7500
0.5527 0.1055 0.2500

---

# 4
Ba2HoSb4Pd3 | Alexandria | PBE | optimized geometry; uncorrected formation energy = -83.43 kJ/mol of atoms; N(E_F) = 0.44 states/eV per atom; ρ = 7.663 Mg/m³; crystal system = tetragonal; space-group type = P-4m2 (115)
1.0
-2.1135 4.1803 -0.8058
-2.0386 -0.2040 4.2888
9.3964 5.6637 4.7358
Ba Ho Sb Pd
2 1 4 3
direct
0.5000 0.0000 0.2359
0.0000 0.5000 0.7641
0.5000 0.5000 0.5000
0.5000 0.5000 0.0000
0.0000 0.0000 0.0000
0.5000 0.0000 0.6494
0.0000 0.5000 0.3506
0.0000 0.0000 0.5000
0.5000 0.0000 0.8839
0.0000 0.5000 0.1161

---

# 5
BaHoPdSe3 | Alexandria | PBE | optimized geometry; uncorrected formation energy = -147.24 kJ/mol of atoms; N(E_F) = 0.41 states/eV per atom; ρ = 6.396 Mg/m³; crystal system = monoclinic; space-group type = P2_1/m (11)
1.0
-0.2813 2.9425 -3.0351
-8.3626 1.2616 1.9981
4.8983 6.0386 5.4006
Ba Ho Pd Se
2 2 2 6
direct
0.2500 0.1950 0.2407
0.7500 0.8050 0.7593
0.2500 0.6808 0.1573
0.7500 0.3192 0.8427
0.2500 0.0933 0.5775
0.7500 0.9067 0.4225
0.7500 0.8911 0.1275
0.2500 0.1089 0.8725
0.2500 0.7765 0.4723
0.7500 0.2235 0.5277
0.7500 0.4517 0.1596
0.2500 0.5483 0.8404

---

# 6
BaHo2PdSe4 | Alexandria | PBE | optimized geometry; uncorrected formation energy = -163.47 kJ/mol of atoms; ρ = 7.038 Mg/m³; crystal system = orthorhombic; space-group type = Cmcm (63)
1.0
4.1749 0.0000 0.0000
-2.0874 6.9885 0.0000
0.0000 0.0000 14.3853
Ba Ho Pd Se
2 4 2 8
direct
0.1205 0.2411 0.7500
0.8795 0.7589 0.2500
0.3679 0.7357 0.5728
0.6321 0.2643 0.0728
0.6321 0.2643 0.4272
0.3679 0.7357 0.9272
0.8441 0.6883 0.7500
0.1559 0.3117 0.2500
0.2687 0.5374 0.1065
0.7313 0.4626 0.6065
0.7313 0.4626 0.8935
0.2687 0.5374 0.3935
0.0000 0.0000 0.5000
0.0000 0.0000 0.0000
0.4514 0.9028 0.7500
0.5486 0.0972 0.2500

---

# 7
Ba2HoSn3Pd4 | Alexandria | PBE | optimized geometry; ΔE_f = -0.7577 eV per atom; N(E_F) = 0.53 states/eV per atom; ρ = 7.941 Mg/m³; crystal system = tetragonal; space-group type = P-4m2 (115)
1.0
-0.0061 4.5937 -1.1723
-0.9912 -1.1476 -4.4919
-11.1119 0.5736 2.3054
Ba Ho Sn Pd
2 1 3 4
direct
0.5000 0.0000 0.2350
0.0000 0.5000 0.7650
0.5000 0.5000 0.5000
0.0000 0.0000 0.5000
0.5000 0.0000 0.8830
0.0000 0.5000 0.1170
0.5000 0.5000 0.0000
0.0000 0.0000 0.0000
0.5000 0.0000 0.6398
0.0000 0.5000 0.3602

---

# 8
BaPmHo2 | Alexandria | PBE | optimized geometry; ΔE_f = 0.1600 eV per atom; ΔE to the lowest computed polymorph = 0 meV/atom; N(E_F) = 1.52 states/eV per atom; ρ = 6.828 Mg/m³; crystal system = tetragonal; space-group type = P4/mmm (123)
1.0
3.7139 0.0000 0.0000
0.0000 3.7139 0.0000
0.0000 0.0000 10.7948
Ba Ho Pm
1 2 1
direct
0.5000 0.5000 0.5000
0.0000 0.0000 0.7812
0.0000 0.0000 0.2188
0.5000 0.5000 0.0000

---

# 9
BaPmHo2 | Alexandria | PBE | optimized geometry; ΔE_f = 0.2341 eV per atom; ΔE to the lowest computed polymorph = 74 meV/atom; N(E_F) = 1.55 states/eV per atom; ρ = 6.936 Mg/m³; crystal system = trigonal; space-group type = R-3m (166)
1.0
-1.1677 2.2168 2.6168
-3.5343 0.1842 0.7747
-0.1662 -8.6642 9.7734
Ba Ho Pm
1 2 1
direct
0.0000 0.0000 0.0000
0.0932 0.0932 0.7203
0.9068 0.9068 0.2797
0.5000 0.5000 0.5000

---

# 10
Ba3Pm3HoS8 | Alexandria | PBE | optimized geometry; uncorrected formation energy = -199.09 kJ/mol of atoms; N(E_F) = 0.24 states/eV per atom; ρ = 4.884 Mg/m³; crystal system = trigonal; space-group type = R-3m (166)
1.0
8.2683 0.0026 0.0004
-4.1319 7.1551 -0.0243
-0.0011 -4.7428 7.3044
Ba Pm Ho S
3 3 1 8
direct
0.0000 0.0000 0.0000
0.0000 0.5000 0.0000
0.5000 0.5000 0.0000
0.5000 0.0000 0.5000
0.5000 0.5000 0.5000
0.0000 0.5000 0.5000
0.0000 0.0000 0.5000
0.2604 0.5210 0.2814
0.7396 0.4790 0.7186
0.7683 0.5367 0.2910
0.2317 0.4633 0.7090
0.7681 0.0227 0.2908
0.2319 0.9773 0.7092
0.2543 0.0226 0.2908
0.7457 0.9774 0.7092

---

# 11
Ba2PmHoS4 | Alexandria | PBE | optimized geometry; uncorrected formation energy = -193.88 kJ/mol of atoms; N(E_F) = 0.45 states/eV per atom; ρ = 5.537 Mg/m³; crystal system = monoclinic; space-group type = P2/m (10)
1.0
4.1603 0.0000 0.0000
0.0000 7.1961 0.1211
0.0000 -2.5228 7.0988
Ba Pm Ho S
2 1 1 4
direct
0.5000 0.0000 0.5000
0.0000 0.5000 0.5000
0.5000 0.5000 0.0000
0.0000 0.0000 0.0000
0.5000 0.2301 0.2102
0.5000 0.7699 0.7898
0.0000 0.2546 0.7860
0.0000 0.7454 0.2140

---

# 12
BaPmHo4S8 | Alexandria | PBE | optimized geometry; uncorrected formation energy = -189.08 kJ/mol of atoms; N(E_F) = 0.24 states/eV per atom; ρ = 5.009 Mg/m³; crystal system = trigonal; space-group type = R3m (160)
1.0
-6.2081 -5.3724 -0.1075
0.9302 -7.2752 -3.6907
0.4608 -6.8984 4.5812
Ba Pm Ho S
1 1 4 8
direct
0.3730 0.3730 0.8809
0.0019 0.0019 0.9944
0.6252 0.6252 0.1244
0.0017 0.4949 0.5017
0.4949 0.0017 0.5017
0.0017 0.0017 0.5017
0.2373 0.8025 0.7229
0.8025 0.2373 0.7229
0.2373 0.2373 0.7229
0.2311 0.2311 0.3066
0.7524 0.2315 0.2638
0.2315 0.7524 0.2638
0.7524 0.7524 0.2638
0.7571 0.7571 0.7286

---

# 13
Ba3Pm2HoSe6 | Alexandria | PBE | optimized geometry; uncorrected formation energy = -183.06 kJ/mol of atoms; N(E_F) = 0.39 states/eV per atom; ρ = 6.141 Mg/m³; crystal system = monoclinic; space-group type = C2/m (12)
1.0
-4.4430 4.5793 3.9804
-2.7225 -6.4791 -2.6765
4.4329 -2.7972 5.7924
Ba Pm Ho Se
3 2 1 6
direct
0.1692 0.8308 0.5000
0.8308 0.1692 0.5000
0.5000 0.5000 0.5000
0.3342 0.6658 0.0000
0.6658 0.3342 0.0000
0.0000 0.0000 0.0000
0.9283 0.6027 0.7842
0.7477 0.7477 0.2184
0.0717 0.3973 0.2158
0.6027 0.9283 0.7842
0.2523 0.2523 0.7816
0.3973 0.0717 0.2158

---

# 14
Ba3Pm3HoTe8 | Alexandria | PBE | optimized geometry; uncorrected formation energy = -150.62 kJ/mol of atoms; N(E_F) = 0.27 states/eV per atom; ρ = 5.823 Mg/m³; crystal system = monoclinic; space-group type = C2/m (12)
1.0
-0.2644 4.4058 7.9894
6.1925 -6.5526 -1.3912
1.1153 8.3711 -4.5816
Ba Pm Ho Te
3 3 1 8
direct
0.0000 0.0000 0.0000
0.0000 0.5000 0.0000
0.5000 0.5000 0.0000
0.5000 0.0000 0.5000
0.5000 0.5000 0.5000
0.0000 0.5000 0.5000
0.0000 0.0000 0.5000
0.2589 0.5178 0.2767
0.7411 0.4822 0.7233
0.7628 0.5255 0.2822
0.2372 0.4745 0.7178
0.7626 0.0195 0.2821
0.2374 0.9805 0.7179
0.2567 0.0194 0.2821
0.7433 0.9806 0.7179

---

# 15
Ba3PmHo3Te8 | Alexandria | PBE | optimized geometry; uncorrected formation energy = -147.60 kJ/mol of atoms; N(E_F) = 0.28 states/eV per atom; ρ = 6.161 Mg/m³; crystal system = trigonal; space-group type = R-3m (166)
1.0
9.0021 0.0015 0.0003
-4.4998 7.7921 -0.0273
-0.0006 -5.1632 7.9812
Ba Pm Ho Te
3 1 3 8
direct
0.0000 0.0000 0.0000
0.0000 0.5000 0.0000
0.5000 0.5000 0.0000
0.0000 0.0000 0.5000
0.5000 0.0000 0.5000
0.5000 0.5000 0.5000
0.0000 0.5000 0.5000
0.2618 0.5237 0.2855
0.7382 0.4763 0.7145
0.7545 0.5091 0.2811
0.2455 0.4909 0.7189
0.7544 0.0265 0.2809
0.2456 0.9735 0.7191
0.2719 0.0265 0.2810
0.7281 0.9735 0.7190

---

# 16
Ba3Pm2HoTe6 | Alexandria | PBE | optimized geometry; uncorrected formation energy = -149.46 kJ/mol of atoms; N(E_F) = 0.46 states/eV per atom; ρ = 6.222 Mg/m³; crystal system = monoclinic; space-group type = C2/m (12)
1.0
8.0011 0.0055 0.0008
-3.9939 6.9330 0.0008
-1.3359 -2.3131 7.8503
Ba Pm Ho Te
3 2 1 6
direct
0.1695 0.8305 0.5000
0.8305 0.1695 0.5000
0.5000 0.5000 0.5000
0.3345 0.6655 0.0000
0.6655 0.3345 0.0000
0.0000 0.0000 0.0000
0.9276 0.6010 0.7816
0.7480 0.7480 0.2214
0.0724 0.3990 0.2184
0.6010 0.9276 0.7816
0.2520 0.2520 0.7786
0.3990 0.0724 0.2184

---

# 17
BaPrHo2 | Alexandria | PBE | optimized geometry; ΔE_f = 0.1607 eV per atom; ΔE to the lowest computed polymorph = 0 meV/atom; N(E_F) = 1.60 states/eV per atom; ρ = 6.686 Mg/m³; crystal system = tetragonal; space-group type = P4/mmm (123)
1.0
3.7380 0.0000 0.0000
0.0000 3.7380 0.0000
0.0000 0.0000 10.8088
Pr Ho Ba
1 2 1
direct
0.5000 0.5000 0.0000
0.0000 0.0000 0.7793
0.0000 0.0000 0.2207
0.5000 0.5000 0.5000

---

# 18
BaPrHo | Alexandria | PBE | optimized geometry; ΔE_f = 0.1585 eV per atom; ΔE to the lowest computed polymorph = 0 meV/atom; N(E_F) = 1.67 states/eV per atom; ρ = 6.052 Mg/m³; crystal system = tetragonal; space-group type = I4mm (107)
1.0
3.8287 0.0000 0.0000
0.0000 3.8287 0.0000
-1.9143 -1.9143 8.2956
Pr Ho Ba
1 1 1
direct
0.6824 0.6824 0.3647
0.3191 0.3191 0.6382
0.9985 0.9985 0.9971

---

# 19
BaPrHo2 | Alexandria | PBE | optimized geometry; ΔE_f = 0.2369 eV per atom; ΔE to the lowest computed polymorph = 76 meV/atom; N(E_F) = 1.58 states/eV per atom; ρ = 6.787 Mg/m³; crystal system = trigonal; space-group type = R-3m (166)
1.0
-1.0140 3.1474 -1.5290
-1.7575 -0.0080 -3.1911
-12.2476 0.4289 4.6648
Pr Ho Ba
1 2 1
direct
0.5000 0.5000 0.5000
0.0929 0.0929 0.7213
0.9071 0.9071 0.2787
0.0000 0.0000 0.0000

---

# 20
BaPrHo | Alexandria | PBE | optimized geometry; ΔE_f = 0.2015 eV per atom; ΔE to the lowest computed polymorph = 43 meV/atom; N(E_F) = 1.51 states/eV per atom; ρ = 6.004 Mg/m³; crystal system = monoclinic; space-group type = C2/m (12)
1.0
6.2041 1.4480 -0.4180
4.3537 4.6511 -0.4180
1.1063 0.6391 10.7826
Ba Pr Ho
2 2 2
direct
0.0097 0.0097 0.0517
0.7434 0.7434 0.2557
0.4694 0.4694 0.4424
0.2838 0.2838 0.8650
0.0083 0.0083 0.7113
0.7449 0.7449 0.5961